No. 1
CaRuIN2: relaxed, PBE-GGA.

Values from the calculation:
E_form (uncorrected): 0.42 eV/atom
DFT total energy: -5.48 eV/atom
relative energy among the computed polymorphs: 0 meV/atom

Lattice parameters (Å, degrees): 4.028 4.028 5.587 90.00 90.00 90.00
Space group P4/mmm (No. 123)
Symmetry-distinct sites (fractional):
Ca  0.000  0.000  0.000 [1 per cell]
Ru  0.500  0.500  0.500 [1 per cell]
I  0.500  0.500  0.000 [1 per cell]
N  0.000  0.500  0.500 [2 per cell]

No. 2
YMnSi2: relaxed, PBE-GGA.

Values from the calculation:
E_form (uncorrected): 0.01 eV/atom
DFT total energy: -6.61 eV/atom

Lattice parameters (Å, degrees): 6.358 6.358 6.358 90.00 90.00 90.00
Space group Fm-3m (No. 225)
Symmetry-distinct sites (fractional):
Y  0.000  0.000  0.000 [4 per cell]
Mn  0.000  0.000  0.500 [4 per cell]
Si  0.250  0.250  0.250 [8 per cell]

No. 3
VZnFeNi: relaxed, PBE-GGA.

Values from the calculation:
DFT total energy: -6.25 eV/atom
formation enthalpy at 0 K: -0.35 eV/f.u.

Lattice parameters (Å, degrees): 5.761 5.761 5.761 90.00 90.00 90.00
Space group F-43m (No. 216)
Symmetry-distinct sites (fractional):
V  0.000  0.000  0.000 [4 per cell]
Zn  0.000  0.000  0.500 [4 per cell]
Fe  0.250  0.250  0.750 [4 per cell]
Ni  0.250  0.250  0.250 [4 per cell]

No. 4
As3Cl: relaxed, PBE-GGA.

Values from the calculation:
E_form (uncorrected): 0.31 eV/atom
DFT total energy: -3.64 eV/atom
relative energy among the computed polymorphs: 305 meV/atom

Lattice parameters (Å, degrees): 5.562 5.562 5.562 90.00 90.00 90.00
Space group Im-3m (No. 229)
Symmetry-distinct sites (fractional):
As  0.000  0.000  0.500 [6 per cell]
Cl  0.000  0.000  0.000 [2 per cell]